{"formula": "ScAlCl2", "functional": "PBE", "state": "relaxed", "rho_g_cm3": 2.8, "polymorph_energy_mev_per_atom": 132, "e_form_raw_kj_per_mol_atoms": -86.7, "sg": "Amm2", "m_tot_mub_per_atom": 0.000, "cell": [[5.097, 0.000, 0.000], [0.000, 1.752, 4.747], [0.000, -1.752, 4.747]], "species": ["Sc", "Al", "Cl", "Cl"], "fractional_positions": [[0.000, 0.000, 0.000], [0.500, 0.417, 0.417], [0.000, 0.706, 0.706], [0.500, 0.113, 0.113]]}



{"formula": "InAuO3", "functional": "PBE", "state": "relaxed", "rho_g_cm3": 8.8, "e_form_raw_kj_per_mol_atoms": -49.3, "sg": "R-3", "m_tot_mub_per_atom": 0.000, "cell": [[2.844, 1.642, 4.834], [-2.844, 1.642, 4.834], [0.000, -3.284, 4.834]], "species": ["In", "In", "Au", "Au", "O", "O", "O", "O", "O", "O"], "fractional_positions": [[0.141, 0.141, 0.141], [0.859, 0.859, 0.859], [0.353, 0.353, 0.353], [0.647, 0.647, 0.647], [0.048, 0.749, 0.455], [0.251, 0.545, 0.952], [0.455, 0.048, 0.749], [0.545, 0.952, 0.251], [0.749, 0.455, 0.048], [0.952, 0.251, 0.545]]}